{"formula": "KCoTc2B", "functional": "PBE-GGA", "state": "optimized geometry", "cell": [[4.440, 0.000, 0.000], [0.000, 4.440, 0.000], [0.000, 0.000, 5.571]], "species": ["K", "Co", "Tc", "Tc", "B"], "frac_coords": [[0.000, 0.000, 0.000], [0.000, 0.000, 0.500], [0.000, 0.500, 0.500], [0.500, 0.000, 0.500], [0.500, 0.500, 0.000]], "total_energy_ev_per_atom": -4.8676, "n_ef_per_ev_cell": 6.6}

{"formula": "V4Ir", "functional": "PBE-GGA", "state": "optimized geometry", "cell": [[4.773, 0.000, 0.000], [0.000, 4.785, 0.000], [-1.942, 0.000, 6.185]], "species": ["V", "V", "V", "V", "V", "V", "V", "V", "Ir", "Ir"], "frac_coords": [[0.100, 0.136, 0.201], [0.100, 0.364, 0.701], [0.305, 0.564, 0.100], [0.305, 0.936, 0.600], [0.695, 0.064, 0.400], [0.695, 0.436, 0.900], [0.900, 0.636, 0.299], [0.900, 0.864, 0.799], [0.500, 0.000, 0.000], [0.500, 0.500, 0.500]], "relative_energy_mev_per_atom": 66, "n_ef_per_ev_cell": 11.8}

{"formula": "Mn3SiH", "functional": "PBE-GGA", "state": "optimized geometry", "cell": [[4.411, 0.000, 0.000], [-2.163, 4.377, 0.000], [-0.015, -1.379, 4.905]], "species": ["Mn", "Mn", "Mn", "Mn", "Mn", "Mn", "Si", "Si", "H", "H"], "frac_coords": [[0.000, 0.000, 0.000], [0.011, 0.003, 0.508], [0.079, 0.484, 0.886], [0.104, 0.511, 0.380], [0.529, 0.029, 0.246], [0.583, 0.493, 0.633], [0.485, 0.971, 0.750], [0.575, 0.505, 0.136], [0.108, 0.785, 0.201], [0.834, 0.279, 0.553]], "relative_energy_mev_per_atom": 122, "n_ef_per_ev_cell": 8.0}

{"formula": "CrRh2SeN", "functional": "PBE-GGA", "state": "optimized geometry", "cell": [[3.825, 0.000, 0.000], [0.000, 3.825, 0.000], [0.000, 0.000, 5.364]], "species": ["Cr", "Rh", "Rh", "Se", "N"], "frac_coords": [[0.000, 0.000, 0.000], [0.000, 0.500, 0.500], [0.500, 0.000, 0.500], [0.500, 0.500, 0.000], [0.500, 0.500, 0.500]], "e_form_raw_kcal_per_mol_atoms": 17.9, "n_ef_per_ev_cell": 7.8}

{"formula": "Ca2Ni2Os", "functional": "PBE-GGA", "state": "optimized geometry", "cell": [[7.877, 0.000, 0.000], [0.000, 7.877, 0.000], [0.000, 0.000, 2.798]], "species": ["Ca", "Ca", "Ca", "Ca", "Ni", "Ni", "Ni", "Ni", "Os", "Os"], "frac_coords": [[0.145, 0.355, 0.000], [0.355, 0.855, 0.000], [0.645, 0.145, 0.000], [0.855, 0.645, 0.000], [0.161, 0.661, 0.500], [0.339, 0.161, 0.500], [0.661, 0.839, 0.500], [0.839, 0.339, 0.500], [0.000, 0.000, 0.000], [0.500, 0.500, 0.000]], "relative_energy_mev_per_atom": 619, "n_ef_per_ev_cell": 9.1}

{"formula": "NpFe4Pb", "functional": "PBE-GGA", "state": "optimized geometry", "cell": [[0.000, 3.593, 3.593], [3.593, 0.000, 3.593], [3.593, 3.593, 0.000]], "species": ["Np", "Fe", "Fe", "Fe", "Fe", "Pb"], "frac_coords": [[0.000, 0.000, 0.000], [0.126, 0.625, 0.625], [0.625, 0.126, 0.625], [0.625, 0.625, 0.126], [0.625, 0.625, 0.625], [0.250, 0.250, 0.250]], "total_energy_ev_per_atom": -8.2091, "n_ef_per_ev_cell": 13.4}

{"formula": "Zr2TaCo2", "functional": "PBE-GGA", "state": "optimized geometry", "cell": [[7.035, 0.000, 0.000], [0.000, 7.035, 0.000], [0.000, 0.000, 3.387]], "species": ["Zr", "Zr", "Zr", "Zr", "Ta", "Ta", "Co", "Co", "Co", "Co"], "frac_coords": [[0.172, 0.328, 0.000], [0.328, 0.828, 0.000], [0.672, 0.172, 0.000], [0.828, 0.672, 0.000], [0.000, 0.000, 0.500], [0.500, 0.500, 0.500], [0.127, 0.627, 0.500], [0.373, 0.127, 0.500], [0.627, 0.873, 0.500], [0.873, 0.373, 0.500]], "relative_energy_mev_per_atom": 118, "n_ef_per_ev_cell": 13.8}

{"formula": "RbBa3In", "functional": "PBE-GGA", "state": "optimized geometry", "cell": [[6.948, 0.000, 0.000], [0.000, 6.948, 0.000], [0.000, 0.000, 6.948]], "species": ["Rb", "Ba", "Ba", "Ba", "In"], "frac_coords": [[0.000, 0.000, 0.000], [0.000, 0.500, 0.500], [0.500, 0.000, 0.500], [0.500, 0.500, 0.000], [0.500, 0.500, 0.500]], "relative_energy_mev_per_atom": 0, "n_ef_per_ev_cell": 5.9}